Record 1
Entry from Alexandria: an optimized crystal structure of ZnCuBr2 (PBE).

Output
Its space-group type is F-43m, No. 216. The energy above the lowest structure with this stoichiometry comes out at 16.073 kcal/mol of atoms. For the density of states at the Fermi level, the calculation gives 0.793 states/eV per atom. The raw formation energy comes out at 0.461 eV per atom.

Cell: 4.990 4.990 4.990 Å, 60.00 60.00 60.00°
Fractional coordinates of all 4 atoms:
Br: 0.000 0.000 0.000
Br: 0.250 0.250 0.250
Cu: 0.500 0.500 0.500
Zn: 0.750 0.750 0.750


Record 2
Entry from Alexandria: an optimized crystal structure of ZnCuBr2 (PBE).

Output
Its space-group type is C2/m, No. 12. The energy above the lowest structure with this stoichiometry comes out at 3.140 kcal/mol of atoms. For the density of states at the Fermi level, the calculation gives 0.387 states/eV per atom. The raw formation energy comes out at -0.099 eV per atom.

Cell: 3.911 3.911 6.955 Å, 74.30 74.30 60.71°
Fractional coordinates of all 4 atoms:
Br: 0.007 0.007 0.970
Br: 0.493 0.493 0.530
Cu: 0.750 0.750 0.750
Zn: 0.250 0.250 0.250


Record 3
Entry from Alexandria: an optimized crystal structure of ZnCuBr2 (PBE).

Output
Its space-group type is I-42d, No. 122. The energy above the lowest structure with this stoichiometry comes out at 2.249 kcal/mol of atoms. For the density of states at the Fermi level, the calculation gives 0.619 states/eV per atom. The raw formation energy comes out at -0.138 eV per atom.

Cell: 6.153 6.153 7.345 Å, 65.24 65.24 90.00°
Fractional coordinates of all 8 atoms:
Zn: 0.000 0.000 0.000
Zn: 0.750 0.250 0.500
Cu: 0.500 0.500 0.000
Cu: 0.250 0.750 0.500
Br: 0.584 0.125 0.250
Br: 0.166 0.625 0.250
Br: 0.375 0.416 0.750
Br: 0.875 0.834 0.750


Record 4
Entry from Alexandria: an optimized crystal structure of Zr2ZnCuBr (PBE).

Output
Its space-group type is P4/mmm, No. 123. For the density of states at the Fermi level, the calculation gives 0.450 states/eV per atom. The raw formation energy comes out at 0.591 eV per atom.

Cell: 4.994 4.482 4.994 Å, 90.00 90.00 90.00°
Fractional coordinates of all 5 atoms:
Zn: 0.500 0.500 0.500
Cu: 0.000 0.500 0.000
Br: 0.000 0.000 0.000
Zr: 0.000 0.000 0.500
Zr: 0.500 0.000 0.000


Record 5
Entry from Alexandria: an optimized crystal structure of ZrCuBr2 (PBE).

Output
Its space-group type is I4/mmm, No. 139. The energy above the lowest structure with this stoichiometry comes out at 11.718 kcal/mol of atoms. For the density of states at the Fermi level, the calculation gives 0.649 states/eV per atom. The raw formation energy comes out at -0.081 eV per atom.

Cell: 5.091 5.091 5.091 Å, 128.00 128.00 76.62°
Fractional coordinates of all 4 atoms:
Br: 0.000 0.000 0.000
Br: 0.500 0.500 0.000
Cu: 0.250 0.750 0.500
Zr: 0.750 0.250 0.500


Record 6
Entry from Alexandria: an optimized crystal structure of ZrCu3Br9 (PBE).

Output
Its space-group type is Cc, No. 9. For the density of states at the Fermi level, the calculation gives 0.775 states/eV per atom. The raw formation energy comes out at -0.649 eV per atom.

Cell: 9.295 10.519 11.389 Å, 71.02 65.92 63.78°
Fractional coordinates of all 26 atoms:
Zr: 0.015 0.489 0.017
Zr: 0.478 0.989 0.517
Cu: 0.807 0.549 0.672
Cu: 0.973 0.049 0.172
Cu: 0.985 0.931 0.851
Cu: 0.234 0.431 0.351
Cu: 0.682 0.232 0.651
Cu: 0.435 0.732 0.151
Br: 0.369 0.187 0.318
Br: 0.127 0.687 0.818
Br: 0.310 0.315 0.939
Br: 0.435 0.815 0.439
Br: 0.173 0.073 0.686
Br: 0.069 0.573 0.186
Br: 0.715 0.726 0.084
Br: 0.476 0.226 0.584
Br: 0.805 0.944 0.380
Br: 0.871 0.444 0.880
Br: 0.587 0.792 0.708
Br: 0.913 0.292 0.208
Br: 0.461 0.514 0.286
Br: 0.739 0.014 0.786
Br: 0.723 0.448 0.560
Br: 0.269 0.948 0.060
Br: 0.843 0.058 0.025
Br: 0.074 0.558 0.525


Record 7
Entry from Alexandria: an optimized crystal structure of ZrCu2Br (PBE).

Output
Its space-group type is Fm-3m, No. 225. The energy above the lowest structure with this stoichiometry comes out at 14.334 kcal/mol of atoms. For the density of states at the Fermi level, the calculation gives 0.757 states/eV per atom. The raw formation energy comes out at 0.460 eV per atom.

Cell: 4.688 4.688 4.688 Å, 60.00 60.00 60.00°
Fractional coordinates of all 4 atoms:
Cu: 0.250 0.250 0.250
Cu: 0.750 0.750 0.750
Br: 0.000 0.000 0.000
Zr: 0.500 0.500 0.500


Record 8
Entry from Alexandria: an optimized crystal structure of ZrCu2Br6 (PBE).

Output
Its space-group type is C2/c, No. 15. The energy above the lowest structure with this stoichiometry comes out at 0.000 kcal/mol of atoms. The raw formation energy comes out at -0.855 eV per atom.

Cell: 6.533 10.115 10.115 Å, 90.44 93.13 93.13°
Fractional coordinates of all 18 atoms:
Zr: 0.250 0.908 0.092
Zr: 0.750 0.092 0.908
Cu: 0.114 0.420 0.437
Cu: 0.386 0.563 0.580
Cu: 0.886 0.580 0.563
Cu: 0.614 0.437 0.420
Br: 0.377 0.278 0.487
Br: 0.123 0.513 0.722
Br: 0.623 0.722 0.513
Br: 0.877 0.487 0.278
Br: 0.880 0.089 0.680
Br: 0.620 0.320 0.911
Br: 0.120 0.911 0.320
Br: 0.380 0.680 0.089
Br: 0.097 0.165 0.047
Br: 0.403 0.953 0.835
Br: 0.903 0.835 0.953
Br: 0.597 0.047 0.165


Record 9
Entry from Alexandria: an optimized crystal structure of ZrCuBr2 (PBE).

Output
Its space-group type is Imm2, No. 44. The energy above the lowest structure with this stoichiometry comes out at 7.094 kcal/mol of atoms. For the density of states at the Fermi level, the calculation gives 0.330 states/eV per atom. The raw formation energy comes out at -0.281 eV per atom.

Cell: 7.170 7.170 7.170 Å, 153.82 139.84 48.57°
Fractional coordinates of all 4 atoms:
Br: 0.072 0.072 0.000
Br: 0.772 0.272 0.500
Cu: 0.413 0.413 0.000
Zr: 0.243 0.743 0.500


Record 10
Entry from Alexandria: an optimized crystal structure of ZrCuBr2 (PBE).

Output
Its space-group type is Immm, No. 71. The energy above the lowest structure with this stoichiometry comes out at 1.551 kcal/mol of atoms. For the density of states at the Fermi level, the calculation gives 0.348 states/eV per atom. The raw formation energy comes out at -0.522 eV per atom.

Cell: 8.208 8.208 4.508 Å, 74.10 74.10 23.49°
Fractional coordinates of all 4 atoms:
Br: 0.892 0.892 0.109
Br: 0.608 0.608 0.391
Cu: 0.750 0.750 0.750
Zr: 0.250 0.250 0.250


Record 11
Entry from Alexandria: an optimized crystal structure of ZrCu2Br (PBE).

Output
Its space-group type is Cm, No. 8. The energy above the lowest structure with this stoichiometry comes out at 0.730 kcal/mol of atoms. For the density of states at the Fermi level, the calculation gives 0.868 states/eV per atom. The raw formation energy comes out at -0.130 eV per atom.

Cell: 3.875 3.875 6.752 Å, 91.02 91.02 56.17°
Fractional coordinates of all 4 atoms:
Br: 0.867 0.867 0.714
Cu: 0.889 0.889 0.109
Cu: 0.212 0.212 0.232
Zr: 0.532 0.532 0.445


Record 12
Entry from Alexandria: an optimized crystal structure of ZrCuBr2 (PBE).

Output
Its space-group type is R-3m, No. 166. The energy above the lowest structure with this stoichiometry comes out at 5.582 kcal/mol of atoms. For the density of states at the Fermi level, the calculation gives 0.357 states/eV per atom. The raw formation energy comes out at -0.347 eV per atom.

Cell: 10.538 10.538 10.538 Å, 18.43 18.43 18.43°
Fractional coordinates of all 4 atoms:
Br: 0.020 0.020 0.020
Br: 0.480 0.480 0.480
Cu: 0.250 0.250 0.250
Zr: 0.750 0.750 0.750


Record 13
Entry from Alexandria: an optimized crystal structure of ZrCuBr6 (PBE).

Output
Its space-group type is P-1, No. 2. For the density of states at the Fermi level, the calculation gives 0.152 states/eV per atom. The raw formation energy comes out at -0.876 eV per atom.

Cell: 6.012 8.693 8.003 Å, 49.42 68.59 65.35°
Site moments in Bohr magnetons follow the coordinates.
Fractional coordinates of all 8 atoms:
Zr: 0.000 0.000 0.000  0.00
Cu: 0.500 0.500 0.500  0.39
Br: 0.144 0.353 0.777  0.11
Br: 0.791 0.159 0.651  0.09
Br: 0.616 0.177 0.150  0.06
Br: 0.209 0.841 0.349  0.09
Br: 0.856 0.647 0.223  0.11
Br: 0.384 0.823 0.850  0.06


Record 14
Entry from Alexandria: an optimized crystal structure of ZrCuBr2 (PBE).

Output
Its space-group type is Pm, No. 6. The energy above the lowest structure with this stoichiometry comes out at 0.000 kcal/mol of atoms. For the density of states at the Fermi level, the calculation gives 0.609 states/eV per atom. The raw formation energy comes out at -0.589 eV per atom.

Cell: 3.470 3.540 8.718 Å, 78.38 90.00 90.00°
Fractional coordinates of all 4 atoms:
Br: 0.000 0.851 0.927
Br: 0.500 0.128 0.367
Cu: 0.000 0.551 0.521
Zr: 0.500 0.970 0.685